# 1
Computed, not measured: crystalline CaBeW2 at its relaxed geometry at the PBE level of DFT.

energy relative to the elements	0.868	eV per atom
symmetry	C2/m
D(E_F)	2.9	states/eV per cell

POSCAR file:
```
CaBeW2
1.0
-0.2302 -2.1815 4.6398
4.9144 -0.6074 -2.6796
1.5204 1.8262 1.3355
W Be Ca
2 1 1
direct
0.5000 0.0000 0.5000
0.0000 0.0000 0.0000
0.0000 0.5000 0.5000
0.5000 0.5000 0.0000
```

=====

# 2
Computed, not measured: crystalline CaBe2W at its relaxed geometry at the PBE level of DFT.

energy relative to the elements	0.765	eV per atom
relative energy among the computed polymorphs	0.425	eV per atom
symmetry	Fm-3m
D(E_F)	4.1	states/eV per cell

POSCAR file:
```
CaBe2W
1.0
0.0000 3.1177 3.1177
3.1177 0.0000 3.1177
3.1177 3.1177 0.0000
Be W Ca
2 1 1
direct
0.2500 0.2500 0.2500
0.7500 0.7500 0.7500
0.5000 0.5000 0.5000
0.0000 0.0000 0.0000
```

=====

# 3
Computed, not measured: crystalline CaBeW2 at its relaxed geometry at the PBE level of DFT.

energy relative to the elements	0.632	eV per atom
symmetry	P4mm
D(E_F)	2.8	states/eV per cell

POSCAR file:
```
CaBeW2
1.0
2.7426 0.0000 0.0000
0.0000 2.7426 0.0000
0.0000 0.0000 8.8759
W Be Ca
2 1 1
direct
0.5000 0.5000 0.2826
0.0000 0.0000 0.0250
0.0000 0.0000 0.4683
0.5000 0.5000 0.7242
```

=====

# 4
Computed, not measured: crystalline CaBeW2 at its relaxed geometry at the PBE level of DFT.

energy relative to the elements	0.884	eV per atom
symmetry	P4/mmm
D(E_F)	1.7	states/eV per cell

POSCAR file:
```
CaBeW2
1.0
4.7054 0.0000 0.0000
0.0000 3.8342 0.0000
0.0000 0.0000 3.8342
Ca W Be
1 2 1
direct
0.5000 0.0000 0.5000
0.0000 0.5000 0.5000
0.0000 0.0000 0.0000
0.5000 0.5000 0.0000
```

=====

# 5
Computed, not measured: crystalline CaBe2W at its relaxed geometry at the PBE level of DFT.

energy relative to the elements	0.340	eV per atom
relative energy among the computed polymorphs	0.000	eV per atom
symmetry	P4/mmm
D(E_F)	3.4	states/eV per cell

POSCAR file:
```
CaBe2W
1.0
-1.6414 -1.6426 2.1617
1.6580 -2.6065 -0.7226
4.2240 1.4850 4.3355
W Ca Be
1 1 2
direct
0.5000 0.5000 0.7500
0.5000 0.5000 0.2500
0.0000 0.0000 0.5838
0.0000 0.0000 0.9162
```

=====

# 6
Computed, not measured: crystalline CaBeW2 at its relaxed geometry at the PBE level of DFT.

energy relative to the elements	0.446	eV per atom
symmetry	Pm
D(E_F)	4.4	states/eV per cell

POSCAR file:
```
CaBeW2
1.0
3.2426 0.0000 0.0000
0.0000 3.2111 -0.0079
0.0000 3.0461 6.9600
W Be Ca
2 1 1
direct
0.0000 0.9482 0.0694
0.5000 0.2146 0.2653
0.0000 0.5648 0.4271
0.5000 0.7724 0.7383
```

=====

# 7
Computed, not measured: crystalline CaBe2W at its relaxed geometry at the PBE level of DFT.

energy relative to the elements	0.901	eV per atom
relative energy among the computed polymorphs	0.561	eV per atom
symmetry	I-4m2
D(E_F)	3.4	states/eV per cell

POSCAR file:
```
CaBe2W
1.0
-0.4814 -4.0691 -2.9668
4.1081 -2.8835 -0.6323
-2.5067 2.0285 3.8978
Ca Be W
1 2 1
direct
0.5000 0.5000 0.0000
0.2500 0.7500 0.5000
0.0000 0.0000 0.0000
0.7500 0.2500 0.5000
```

=====

# 8
Computed, not measured: crystalline CaBeW3 at its relaxed geometry at the PBE level of DFT.

energy relative to the elements	1.138	eV per atom
relative energy among the computed polymorphs	0.000	eV per atom
symmetry	Pm-3m
D(E_F)	7.2	states/eV per cell

POSCAR file:
```
CaBeW3
1.0
-1.9317 -3.3025 2.2237
3.8714 -0.9810 1.9060
-0.9295 2.7774 3.3174
Be W Ca
1 3 1
direct
0.0000 0.0000 0.0000
0.0000 0.0000 0.5000
0.5000 0.0000 0.0000
0.0000 0.5000 0.0000
0.5000 0.5000 0.5000
```

=====

# 9
Computed, not measured: crystalline CaBeW3 at its relaxed geometry at the PBE level of DFT.

energy relative to the elements	3.428	eV per atom
relative energy among the computed polymorphs	2.290	eV per atom
symmetry	Pm-3m
D(E_F)	4.3	states/eV per cell

POSCAR file:
```
CaBeW3
1.0
4.6007 0.0000 0.0000
0.0000 4.6007 0.0000
0.0000 0.0000 4.6007
W Ca Be
3 1 1
direct
0.0000 0.0000 0.5000
0.0000 0.5000 0.0000
0.5000 0.0000 0.0000
0.0000 0.0000 0.0000
0.5000 0.5000 0.5000
```

=====

# 10
Computed, not measured: crystalline CaBeW2 at its relaxed geometry at the PBE level of DFT.

energy relative to the elements	0.862	eV per atom
symmetry	R-3m
D(E_F)	4.8	states/eV per cell

POSCAR file:
```
CaBeW2
1.0
9.6379 -0.0156 -0.0091
9.2197 2.8084 -0.0091
9.2197 1.3655 2.4542
W Be Ca
2 1 1
direct
0.9876 0.9876 0.9876
0.5124 0.5124 0.5124
0.2500 0.2500 0.2500
0.7500 0.7500 0.7500
```

=====

# 11
Computed, not measured: crystalline CaBe2W at its relaxed geometry at the PBE level of DFT.

energy relative to the elements	0.611	eV per atom
relative energy among the computed polymorphs	0.271	eV per atom
symmetry	Cm
D(E_F)	2.0	states/eV per cell

POSCAR file:
```
CaBe2W
1.0
4.9072 -0.0113 0.0086
4.1786 2.5730 0.0086
1.4323 0.4038 4.8534
W Be Ca
1 2 1
direct
0.2831 0.2831 0.1449
0.7088 0.7088 0.7891
0.0262 0.0262 0.0333
0.4820 0.4820 0.5328
```

=====

# 12
Computed, not measured: crystalline CaBe2W at its relaxed geometry at the PBE level of DFT.

energy relative to the elements	0.500	eV per atom
relative energy among the computed polymorphs	0.160	eV per atom
symmetry	Cmmm
D(E_F)	0.7	states/eV per cell

POSCAR file:
```
CaBe2W
1.0
-1.4320 -6.6995 1.6683
3.2280 2.8531 1.5939
-1.0085 -0.2811 2.5385
Be Ca W
2 1 1
direct
0.0000 0.0000 0.0000
0.5000 0.0000 0.5000
0.0000 0.5000 0.5000
0.5000 0.5000 0.0000
```

=====

# 13
Computed, not measured: crystalline CaBeW2 at its relaxed geometry at the PBE level of DFT.

energy relative to the elements	0.838	eV per atom
symmetry	Pmmm
D(E_F)	2.8	states/eV per cell

POSCAR file:
```
CaBeW2
1.0
-2.3606 0.2982 -2.0230
-2.6370 -2.4363 2.7179
-1.4284 4.0756 2.2675
W Be Ca
2 1 1
direct
0.5000 0.5000 0.0000
0.0000 0.0000 0.0000
0.5000 0.0000 0.5000
0.0000 0.5000 0.5000
```

=====

# 14
Computed, not measured: crystalline CaBeW2 at its relaxed geometry at the PBE level of DFT.

energy relative to the elements	1.314	eV per atom
symmetry	I-42d
D(E_F)	7.7	states/eV per cell

POSCAR file:
```
CaBeW2
1.0
4.3985 0.0000 0.0000
0.0000 4.3985 0.0000
2.1993 2.1993 8.9456
Be W Ca
2 4 2
direct
0.2500 0.7500 0.5000
0.5000 0.5000 0.0000
0.2728 0.1250 0.2500
0.8750 0.5228 0.7500
0.3750 0.7272 0.7500
0.4772 0.6250 0.2500
0.0000 0.0000 0.0000
0.7500 0.2500 0.5000
```

=====

# 15
Computed, not measured: crystalline CaBe2W at its relaxed geometry at the PBE level of DFT.

energy relative to the elements	0.621	eV per atom
relative energy among the computed polymorphs	0.281	eV per atom
symmetry	Imm2
D(E_F)	1.4	states/eV per cell

POSCAR file:
```
CaBe2W
1.0
5.3710 0.0021 -0.0019
2.6686 4.6611 0.0019
-3.3636 -3.4629 2.3542
Ca W Be
1 1 2
direct
0.5161 0.5161 0.0000
0.2229 0.7229 0.5000
0.9765 0.9765 0.0000
0.7845 0.2845 0.5000
```

=====

# 16
Computed, not measured: crystalline CaBeW2 at its relaxed geometry at the PBE level of DFT.

energy relative to the elements	0.681	eV per atom
symmetry	Cm
D(E_F)	2.5	states/eV per cell

POSCAR file:
```
CaBeW2
1.0
4.6547 0.0017 -0.0012
3.8473 2.6199 -0.0012
0.3995 0.1232 6.0855
Ca W Be
1 2 1
direct
0.2439 0.2439 0.2555
0.0094 0.0094 0.9249
0.7609 0.7609 0.7390
0.4857 0.4857 0.5807
```

=====

# 17
Computed, not measured: crystalline CaBe2W at its relaxed geometry at the PBE level of DFT.

energy relative to the elements	0.566	eV per atom
relative energy among the computed polymorphs	0.226	eV per atom
symmetry	C2/m
D(E_F)	1.3	states/eV per cell

POSCAR file:
```
CaBe2W
1.0
4.4848 -0.0049 0.0088
3.6516 2.6037 0.0088
0.8372 0.2674 5.7427
Be Ca W
2 1 1
direct
0.5082 0.5082 0.3926
0.9918 0.9918 0.1074
0.7500 0.7500 0.7500
0.2500 0.2500 0.2500
```

=====

# 18
Computed, not measured: crystalline CaBe4W at its relaxed geometry at the PBE level of DFT.

energy relative to the elements	0.394	eV per atom
symmetry	F-43m
D(E_F)	4.0	states/eV per cell

POSCAR file:
```
CaBe4W
1.0
1.9331 -4.2206 0.9258
-1.7386 -2.6855 3.4890
-2.3729 -3.9659 -1.0238
Be Ca W
4 1 1
direct
0.8917 0.3694 0.3694
0.3694 0.8917 0.3694
0.3694 0.3694 0.3694
0.3694 0.3694 0.8917
0.7500 0.7500 0.7500
0.0000 0.0000 0.0000
```

=====

# 19
Computed, not measured: crystalline CaBeW2 at its relaxed geometry at the PBE level of DFT.

energy relative to the elements	0.816	eV per atom
symmetry	P2/m
D(E_F)	2.0	states/eV per cell

POSCAR file:
```
CaBeW2
1.0
-1.4322 1.8259 4.2551
1.9493 -1.6714 1.3733
3.7637 3.2600 -0.1321
Ca W Be
1 2 1
direct
0.5000 0.7500 0.7500
0.0000 0.1212 0.0141
0.0000 0.3788 0.4859
0.5000 0.2500 0.2500
```

=====

# 20
Computed, not measured: crystalline CaBeW2 at its relaxed geometry at the PBE level of DFT.

energy relative to the elements	0.589	eV per atom
symmetry	Cmm2
D(E_F)	2.1	states/eV per cell

POSCAR file:
```
CaBeW2
1.0
2.7818 -0.0072 0.0000
-0.7207 2.6868 0.0000
0.0000 0.0000 8.9757
W Ca Be
2 1 1
direct
0.0000 0.0000 0.0285
0.5000 0.5000 0.2726
0.5000 0.5000 0.7303
0.0000 0.0000 0.4685
```

=====

# 21
Computed, not measured: crystalline CaBeW2 at its relaxed geometry at the PBE level of DFT.

energy relative to the elements	0.905	eV per atom
symmetry	I4/mmm
D(E_F)	1.6	states/eV per cell

POSCAR file:
```
CaBeW2
1.0
-5.4046 0.0918 0.5132
-3.0450 -3.5549 -2.7517
4.3919 -0.0164 3.1925
W Be Ca
2 1 1
direct
0.5000 0.5000 0.0000
0.0000 0.0000 0.0000
0.2500 0.7500 0.5000
0.7500 0.2500 0.5000
```

=====

# 22
Computed, not measured: crystalline Ca3BeW at its relaxed geometry at the PBE level of DFT.

energy relative to the elements	1.390	eV per atom
relative energy among the computed polymorphs	0.000	eV per atom
symmetry	Pm-3m
D(E_F)	8.0	states/eV per cell

POSCAR file:
```
Ca3BeW
1.0
5.2384 0.0000 0.0000
0.0000 5.2384 0.0000
0.0000 0.0000 5.2384
Ca Be W
3 1 1
direct
0.0000 0.5000 0.0000
0.0000 0.0000 0.5000
0.5000 0.0000 0.0000
0.0000 0.0000 0.0000
0.5000 0.5000 0.5000
```

=====

# 23
Computed, not measured: crystalline CaBeW2 at its relaxed geometry at the PBE level of DFT.

energy relative to the elements	0.608	eV per atom
symmetry	P4/mmm
D(E_F)	4.3	states/eV per cell

POSCAR file:
```
CaBeW2
1.0
2.7542 0.0000 0.0000
0.0000 2.7542 0.0000
0.0000 0.0000 8.6554
Ca Be W
1 1 2
direct
0.5000 0.5000 0.7500
0.5000 0.5000 0.2500
0.0000 0.0000 0.4399
0.0000 0.0000 0.0601
```

=====

# 24
Computed, not measured: crystalline CaBe2ZnW at its relaxed geometry at the PBE level of DFT.

energy relative to the elements	2.515	eV per atom
symmetry	P4/mmm
D(E_F)	4.0	states/eV per cell

POSCAR file:
```
CaBe2ZnW
1.0
-0.3926 -3.0661 -3.4697
4.6189 0.1801 -0.6817
0.5811 -3.4872 3.0158
W Ca Zn Be
1 1 1 2
direct
0.0000 0.5000 0.0000
0.0000 0.0000 0.0000
0.5000 0.5000 0.5000
0.5000 0.0000 0.0000
0.0000 0.0000 0.5000
```

=====

# 25
Computed, not measured: crystalline Ca2YBe at its relaxed geometry at the PBE level of DFT.

energy relative to the elements	0.524	eV per atom
symmetry	C2/m
D(E_F)	5.4	states/eV per cell

POSCAR file:
```
Ca2YBe
1.0
-1.0972 -0.8675 5.6859
-1.0947 -5.2063 -3.8810
2.8570 -2.0465 0.5182
Ca Y Be
2 1 1
direct
0.0000 0.0000 0.0000
0.5000 0.0000 0.5000
0.0000 0.5000 0.5000
0.5000 0.5000 0.0000
```

=====

# 26
Computed, not measured: crystalline Ca2YBe at its relaxed geometry at the PBE level of DFT.

energy relative to the elements	0.148	eV per atom
symmetry	Pm
D(E_F)	4.6	states/eV per cell

POSCAR file:
```
Ca2YBe
1.0
3.5608 0.0000 0.0000
0.0000 3.5615 0.0034
0.0000 3.5531 9.3755
Be Ca Y
1 2 1
direct
0.5000 0.7681 0.7329
0.5000 0.2331 0.2652
0.0000 0.0726 0.9276
0.0000 0.4262 0.5742
```

=====

# 27
Computed, not measured: crystalline Ca2YBe at its relaxed geometry at the PBE level of DFT.

energy relative to the elements	0.449	eV per atom
symmetry	I4/mmm
D(E_F)	5.9	states/eV per cell

POSCAR file:
```
Ca2YBe
1.0
-0.0814 -5.2083 3.3081
-1.7401 -5.0506 -3.0887
4.0576 4.5529 -0.9399
Y Ca Be
1 2 1
direct
0.2500 0.7500 0.5000
0.5000 0.5000 0.0000
0.0000 0.0000 0.0000
0.7500 0.2500 0.5000
```

=====

# 28
Computed, not measured: crystalline Ca3YBe at its relaxed geometry at the PBE level of DFT.

energy relative to the elements	0.403	eV per atom
relative energy among the computed polymorphs	0.000	eV per atom
symmetry	Pm-3m
D(E_F)	12.9	states/eV per cell

POSCAR file:
```
Ca3YBe
1.0
5.5924 0.0000 0.0000
0.0000 5.5924 0.0000
0.0000 0.0000 5.5924
Ca Be Y
3 1 1
direct
0.0000 0.5000 0.0000
0.0000 0.0000 0.5000
0.5000 0.0000 0.0000
0.0000 0.0000 0.0000
0.5000 0.5000 0.5000
```

=====

# 29
Computed, not measured: crystalline Ca2YBe at its relaxed geometry at the PBE level of DFT.

energy relative to the elements	0.466	eV per atom
symmetry	I-42d
D(E_F)	11.9	states/eV per cell

POSCAR file:
```
Ca2YBe
1.0
8.8974 0.0000 0.0000
0.0000 8.8974 0.0000
4.4487 4.4487 3.1035
Y Be Ca
2 2 4
direct
0.7500 0.2500 0.5000
0.0000 0.0000 0.0000
0.2500 0.7500 0.5000
0.5000 0.5000 0.0000
0.3750 0.4531 0.7500
0.2031 0.6250 0.2500
0.8750 0.7969 0.7500
0.5469 0.1250 0.2500
```

=====

# 30
Computed, not measured: crystalline CaYBe at its relaxed geometry at the PBE level of DFT.

energy relative to the elements	0.177	eV per atom
relative energy among the computed polymorphs	0.000	eV per atom
symmetry	I4mm
D(E_F)	3.1	states/eV per cell

POSCAR file:
```
CaYBe
1.0
6.8676 -0.0020 0.0021
5.9793 3.3789 0.0059
0.8883 0.2311 3.3730
Ca Be Y
1 1 1
direct
0.3640 0.3640 0.6360
0.0088 0.0088 0.9912
0.6272 0.6272 0.3728
```